1.
Below is crystalline Rb4La3PuO8 at its relaxed geometry, with properties calculated at the PBE level.

## Properties
* final energy: -113.090 eV/f.u.
* N(E_F): 22.4 states/eV per cell

Cell and atoms, written as CIF:
```
data_Rb4La3PuO8
_cell_length_a 7.4424
_cell_length_b 7.4424
_cell_length_c 19.7700
_cell_angle_alpha 90.00
_cell_angle_beta 90.00
_cell_angle_gamma 120.00
_space_group_name_H-M_alt 'R -3 m'
_space_group_IT_number 166
_space_group_name_Hall '-R 3 2"'
loop_
_atom_site_label
_atom_site_type_symbol
_atom_site_fract_x
_atom_site_fract_y
_atom_site_fract_z
Rb1 Rb 0.0000 0.0000 0.0000
Rb2 Rb 0.0000 0.5000 0.0000
La1 La 0.0000 0.5000 0.5000
Pu1 Pu 0.0000 0.0000 0.5000
O1 O 0.0000 0.0000 0.2268
O2 O 0.0087 0.5044 0.2265
```

***

2.
Below is crystalline NbCd2F8 at its relaxed geometry, with properties calculated at the PBE level.

## Properties
* final energy: -53.710 eV/f.u.
* N(E_F): 1.9 states/eV per cell

Cell and atoms, written as CIF:
```
data_NbCd2F8
_cell_length_a 6.9037
_cell_length_b 6.9037
_cell_length_c 4.3568
_cell_angle_alpha 90.00
_cell_angle_beta 90.00
_cell_angle_gamma 120.00
_space_group_name_H-M_alt 'P -3 m 1'
_space_group_IT_number 164
_space_group_name_Hall '-P 3 2"'
loop_
_atom_site_label
_atom_site_type_symbol
_atom_site_fract_x
_atom_site_fract_y
_atom_site_fract_z
Nb1 Nb 0.0000 0.0000 0.0000
Cd1 Cd 0.3333 0.6667 0.7572
F1 F 0.1434 0.2868 0.7620
F2 F 0.3333 0.6667 0.2588
```

***

3.
Below is crystalline Sc2InTc at its relaxed geometry, with properties calculated at the PBE level.

## Properties
* energy of formation from the pure elements: -0.107 eV/atom
* N(E_F): 27.9 states/eV per cell

Cell and atoms, written as CIF:
```
data_Sc2InTc
_cell_length_a 6.7439
_cell_length_b 6.7439
_cell_length_c 6.7439
_cell_angle_alpha 90.00
_cell_angle_beta 90.00
_cell_angle_gamma 90.00
_space_group_name_H-M_alt 'F -4 3 m'
_space_group_IT_number 216
_space_group_name_Hall 'F -4 2 3'
loop_
_atom_site_label
_atom_site_type_symbol
_atom_site_fract_x
_atom_site_fract_y
_atom_site_fract_z
Sc1 Sc 0.0000 0.0000 0.0000
Sc2 Sc 0.2500 0.2500 0.2500
In1 In 0.0000 0.0000 0.5000
Tc1 Tc 0.2500 0.2500 0.7500
```

***

4.
Below is crystalline ErUOs at its relaxed geometry, with properties calculated at the PBE level.

## Properties
* energy of formation from the pure elements: 0.178 eV/atom
* N(E_F): 5.7 states/eV per cell

Cell and atoms, written as CIF:
```
data_ErUOs
_cell_length_a 4.7785
_cell_length_b 4.7785
_cell_length_c 3.0340
_cell_angle_alpha 90.00
_cell_angle_beta 90.00
_cell_angle_gamma 120.00
_space_group_name_H-M_alt 'P 3 m 1'
_space_group_IT_number 156
loop_
_space_group_symop_operation_xyz
'x,y,z'
'-y,x-y,z'
'-x+y,-x,z'
'-y,-x,z'
'-x+y,y,z'
'x,x-y,z'
loop_
_atom_site_label
_atom_site_type_symbol
_atom_site_fract_x
_atom_site_fract_y
_atom_site_fract_z
Er1 Er 0.0000 0.0000 0.0000
U1 U 0.3333 0.6667 0.6490
Os1 Os 0.6667 0.3333 0.3725
```

***

5.
Below is crystalline MnCoNiSn at its relaxed geometry, with properties calculated at the PBE level.

## Properties
* energy of formation from the pure elements: -0.111 eV/atom
* N(E_F): 3.8 states/eV per cell

Cell and atoms, written as CIF:
```
data_MnCoNiSn
_cell_length_a 4.1177
_cell_length_b 4.1177
_cell_length_c 6.4749
_cell_angle_alpha 90.00
_cell_angle_beta 90.00
_cell_angle_gamma 90.00
_space_group_name_H-M_alt 'I -4 m 2'
_space_group_IT_number 119
_space_group_name_Hall 'I -4 -2'
loop_
_atom_site_label
_atom_site_type_symbol
_atom_site_fract_x
_atom_site_fract_y
_atom_site_fract_z
Mn1 Mn 0.0000 0.0000 0.0000
Co1 Co 0.0000 0.5000 0.7500
Ni1 Ni 0.0000 0.5000 0.2500
Sn1 Sn 0.0000 0.0000 0.5000
```

***

6.
Below is crystalline Mg2AlAg at its relaxed geometry, with properties calculated at the PBE level.

## Properties
* energy of formation from the pure elements: -0.078 eV/atom
* N(E_F): 1.8 states/eV per cell

Cell and atoms, written as CIF:
```
data_Mg2AlAg
_cell_length_a 4.3853
_cell_length_b 4.3853
_cell_length_c 3.9539
_cell_angle_alpha 90.00
_cell_angle_beta 90.00
_cell_angle_gamma 90.00
_space_group_name_H-M_alt 'P 4/m m m'
_space_group_IT_number 123
_space_group_name_Hall '-P 4 2'
loop_
_atom_site_label
_atom_site_type_symbol
_atom_site_fract_x
_atom_site_fract_y
_atom_site_fract_z
Mg1 Mg 0.0000 0.5000 0.0000
Al1 Al 0.0000 0.0000 0.5000
Ag1 Ag 0.5000 0.5000 0.5000
```

***

7.
Below is crystalline Zr6Ga5 at its relaxed geometry, with properties calculated at the PBE level.

## Properties
* energy of formation from the pure elements: -0.368 eV/atom
* N(E_F): 14.8 states/eV per cell

Cell and atoms, written as CIF:
```
data_Zr6Ga5
_cell_length_a 7.8769
_cell_length_b 14.6552
_cell_length_c 4.9272
_cell_angle_alpha 90.00
_cell_angle_beta 128.58
_cell_angle_gamma 90.00
_space_group_name_H-M_alt 'C 1 2/m 1'
_space_group_IT_number 12
loop_
_space_group_symop_operation_xyz
'x,y,z'
'-x,-y,-z'
'-x,y,-z'
'x,-y,z'
'x+1/2,y+1/2,z'
'-x+1/2,-y+1/2,-z'
'-x+1/2,y+1/2,-z'
'x+1/2,-y+1/2,z'
loop_
_atom_site_label
_atom_site_type_symbol
_atom_site_fract_x
_atom_site_fract_y
_atom_site_fract_z
Zr1 Zr 0.2482 0.0000 0.2498
Zr2 Zr 0.2480 0.1637 0.7482
Ga1 Ga 0.0000 0.1621 0.0000
Ga2 Ga 0.0000 0.3314 0.5000
Ga3 Ga 0.0000 0.5000 0.0000
```

***

8.
Below is crystalline Mn5CoN4 at its relaxed geometry, with properties calculated at the PBE level.

## Properties
* final energy: -87.291 eV/f.u.
* N(E_F): 13.0 states/eV per cell

Cell and atoms, written as CIF:
```
data_Mn5CoN4
_cell_length_a 6.0503
_cell_length_b 6.6363
_cell_length_c 4.6915
_cell_angle_alpha 90.00
_cell_angle_beta 90.00
_cell_angle_gamma 90.00
_space_group_name_H-M_alt 'P m m n'
_space_group_IT_number 59
loop_
_space_group_symop_operation_xyz
'x,y,z'
'-x,-y,-z'
'-x+1/2,-y+1/2,z'
'x+1/2,y+1/2,-z'
'x+1/2,-y,-z'
'-x+1/2,y,z'
'-x,y+1/2,-z'
'x,-y+1/2,z'
loop_
_atom_site_label
_atom_site_type_symbol
_atom_site_fract_x
_atom_site_fract_y
_atom_site_fract_z
Mn1 Mn 0.0218 0.0547 0.2484
Mn2 Mn 0.2500 0.2500 0.7843
Co1 Co 0.2500 0.7500 0.3516
N1 N 0.0310 0.7500 0.0452
N2 N 0.2500 0.0065 0.5416
```